No. 1
This record from Alexandria via LeMat-Bulk describes VNiSe after structural relaxation. The functional is GGA-PBE.

abc: 4.525 9.763 4.506
angles: 90.00 123.62 90.00
Positions (direct):
Se: 0.293 0.124 0.390
Se: 0.793 0.876 0.890
Se: 0.293 0.624 0.890
Se: 0.793 0.376 0.390
V: 0.482 0.925 0.194
V: 0.982 0.075 0.694
V: 0.482 0.425 0.694
V: 0.982 0.575 0.194
Ni: 0.162 0.821 0.504
Ni: 0.662 0.179 0.004
Ni: 0.662 0.679 0.504
Ni: 0.162 0.321 0.004

Results
ΔE to the lowest computed polymorph (eV/atom): 0.2024
ΔE_f (raw) (kJ per mole of atoms): -16.6
Density of states at the Fermi level (states/eV/atom): 0.67


No. 2
This record from Alexandria via LeMat-Bulk describes VNiSe after structural relaxation. The functional is GGA-PBE.

abc: 4.755 3.402 5.565
angles: 90.00 106.83 90.00
Positions (direct):
Se: 0.386 0.750 0.243
Se: 0.614 0.250 0.757
V: 0.822 0.750 0.084
V: 0.178 0.250 0.916
Ni: 0.130 0.250 0.414
Ni: 0.870 0.750 0.586

Results
ΔE to the lowest computed polymorph (eV/atom): 0.1144
ΔE_f (raw) (kJ per mole of atoms): -25.1
Density of states at the Fermi level (states/eV/atom): 1.16


No. 3
This record from Alexandria via LeMat-Bulk describes VNiSe2 after structural relaxation. The functional is GGA-PBE.

abc: 3.452 5.842 13.313
angles: 90.00 90.00 90.00
Positions (direct):
V: 0.750 0.809 0.939
V: 0.250 0.691 0.439
V: 0.250 0.191 0.061
V: 0.750 0.309 0.561
Ni: 0.250 0.131 0.861
Ni: 0.250 0.631 0.639
Ni: 0.750 0.369 0.361
Ni: 0.750 0.869 0.139
Se: 0.750 0.739 0.308
Se: 0.750 0.836 0.566
Se: 0.250 0.261 0.692
Se: 0.250 0.761 0.808
Se: 0.250 0.164 0.434
Se: 0.750 0.239 0.192
Se: 0.750 0.336 0.934
Se: 0.250 0.664 0.066

Results
ΔE to the lowest computed polymorph (eV/atom): 0.0423
ΔE_f (raw) (kJ per mole of atoms): -43.6
Density of states at the Fermi level (states/eV/atom): 0.66


No. 4
This record from Alexandria via LeMat-Bulk describes V2NiSe5 after structural relaxation. The functional is GGA-PBE.

abc: 4.978 6.485 11.850
angles: 90.00 90.00 112.57
Last column: magnetic moment on the atom in μB.
Positions (direct):
Se: 0.045 0.090 0.388  -0.13
Se: 0.955 0.910 0.888  -0.13
Se: 0.687 0.373 0.587  -0.08
Se: 0.313 0.627 0.087  -0.08
Se: 0.045 0.090 0.112  -0.13
Se: 0.264 0.528 0.750  -0.09
Se: 0.313 0.627 0.413  -0.08
Se: 0.736 0.472 0.250  -0.09
Se: 0.687 0.373 0.913  -0.08
Se: 0.955 0.910 0.612  -0.13
V: 0.156 0.312 0.561  1.61
V: 0.844 0.688 0.439  1.61
V: 0.844 0.688 0.061  1.61
V: 0.156 0.312 0.939  1.61
Ni: 0.813 0.626 0.750  0.07
Ni: 0.187 0.374 0.250  0.07

Results
ΔE_f (raw) (kJ per mole of atoms): -39.7
Density of states at the Fermi level (states/eV/atom): 0.62


No. 5
This record from Alexandria via LeMat-Bulk describes VNiSe after structural relaxation. The functional is GGA-PBE.

abc: 6.061 3.168 9.596
angles: 90.00 106.70 90.00
Positions (direct):
V: 0.865 0.000 0.338
V: 0.135 0.000 0.662
V: 0.135 0.500 0.162
V: 0.865 0.500 0.838
Ni: 0.542 0.500 0.350
Ni: 0.542 0.000 0.850
Ni: 0.458 0.500 0.650
Ni: 0.458 0.000 0.150
Se: 0.812 0.000 0.076
Se: 0.812 0.500 0.576
Se: 0.188 0.000 0.924
Se: 0.188 0.500 0.424

Results
ΔE to the lowest computed polymorph (eV/atom): 0.1743
ΔE_f (raw) (kJ per mole of atoms): -19.3
Density of states at the Fermi level (states/eV/atom): 0.75


No. 6
This record from Alexandria via LeMat-Bulk describes VNiSe after structural relaxation. The functional is GGA-PBE.

abc: 3.559 3.859 8.177
angles: 90.00 102.57 90.00
Positions (direct):
Se: 0.847 0.750 0.695
Se: 0.153 0.250 0.305
Ni: 0.453 0.750 0.906
Ni: 0.547 0.250 0.094
V: 0.942 0.250 0.884
V: 0.058 0.750 0.116

Results
ΔE to the lowest computed polymorph (eV/atom): 0.0000
ΔE_f (raw) (kJ per mole of atoms): -36.1
Density of states at the Fermi level (states/eV/atom): 0.61


No. 7
This record from Alexandria via LeMat-Bulk describes V3NiSe4 after structural relaxation. The functional is GGA-PBE.

abc: 6.056 7.183 6.908
angles: 90.00 90.00 90.00
Last column: magnetic moment on the atom in μB.
Positions (direct):
Se: 0.065 0.914 0.000  -0.03
Se: 0.565 0.086 0.500  -0.03
Se: 0.670 0.667 0.752  -0.01
Se: 0.076 0.885 0.500  -0.05
Se: 0.576 0.115 0.000  -0.05
Se: 0.170 0.333 0.252  -0.01
Se: 0.670 0.667 0.248  -0.01
Se: 0.170 0.333 0.748  -0.01
V: 0.589 0.337 0.262  0.98
V: 0.089 0.663 0.238  0.98
V: 0.589 0.337 0.738  0.98
V: 0.089 0.663 0.762  0.98
V: 0.921 0.222 0.500  -0.78
V: 0.421 0.778 0.000  -0.78
Ni: 0.935 0.236 0.000  -0.04
Ni: 0.435 0.764 0.500  -0.04

Results
ΔE_f (raw) (kJ per mole of atoms): -28.6
Density of states at the Fermi level (states/eV/atom): 0.82


No. 8
This record from Alexandria via LeMat-Bulk describes VNiSe2 after structural relaxation. The functional is GGA-PBE.

abc: 4.427 4.427 4.427
angles: 60.00 60.00 60.00
Last column: magnetic moment on the atom in μB.
Positions (direct):
V: 0.000 0.000 0.000  1.66
Ni: 0.500 0.500 0.500  -0.06
Se: 0.750 0.750 0.750  -0.05
Se: 0.250 0.250 0.250  -0.05

Results
ΔE to the lowest computed polymorph (eV/atom): 0.4647
ΔE_f (raw) (kJ per mole of atoms): -2.8
Density of states at the Fermi level (states/eV/atom): 1.82


No. 9
This record from Alexandria via LeMat-Bulk describes VNi3Se after structural relaxation. The functional is GGA-PBE.

abc: 4.311 4.311 4.311
angles: 90.00 90.00 90.00
Last column: magnetic moment on the atom in μB.
Positions (direct):
V: 0.500 0.500 0.500  2.60
Ni: 0.000 0.000 0.500  -0.09
Ni: 0.500 0.000 0.000  -0.09
Ni: 0.000 0.500 0.000  -0.09
Se: 0.000 0.000 0.000  0.00

Results
ΔE to the lowest computed polymorph (eV/atom): 0.0000
ΔE_f (raw) (kJ per mole of atoms): 53.6
Density of states at the Fermi level (states/eV/atom): 1.30


No. 10
This record from Alexandria via LeMat-Bulk describes VNi3Se after structural relaxation. The functional is GGA-PBE.

abc: 4.332 4.332 4.332
angles: 90.00 90.00 90.00
Positions (direct):
Ni: 0.500 0.000 0.000
Ni: 0.000 0.000 0.500
Ni: 0.000 0.500 0.000
Se: 0.500 0.500 0.500
V: 0.000 0.000 0.000

Results
ΔE to the lowest computed polymorph (eV/atom): 0.5022
ΔE_f (raw) (kJ per mole of atoms): 102.1
Density of states at the Fermi level (states/eV/atom): 0.96


No. 11
This record from Alexandria via LeMat-Bulk describes VNiSe after structural relaxation. The functional is GGA-PBE.

abc: 6.046 3.231 8.868
angles: 90.00 102.28 90.00
Positions (direct):
Ni: 0.489 0.500 0.871
Ni: 0.434 0.500 0.161
Ni: 0.489 0.000 0.371
Ni: 0.434 0.000 0.661
V: 0.101 0.500 0.710
V: 0.834 0.500 0.361
V: 0.101 0.000 0.210
V: 0.834 0.000 0.861
Se: 0.805 0.000 0.580
Se: 0.244 0.500 0.456
Se: 0.244 0.000 0.956
Se: 0.805 0.500 0.080

Results
ΔE to the lowest computed polymorph (eV/atom): 0.1454
ΔE_f (raw) (kJ per mole of atoms): -22.1
Density of states at the Fermi level (states/eV/atom): 0.85


No. 12
This record from Alexandria via LeMat-Bulk describes VNiSe2 after structural relaxation. The functional is GGA-PBE.

abc: 7.840 7.840 7.840
angles: 25.45 25.45 25.45
Last column: magnetic moment on the atom in μB.
Positions (direct):
Ni: 0.500 0.500 0.500  -0.21
Se: 0.893 0.893 0.893  -0.09
Se: 0.107 0.107 0.107  -0.09
V: 0.000 0.000 0.000  2.41

Results
ΔE to the lowest computed polymorph (eV/atom): 0.6200
ΔE_f (raw) (kJ per mole of atoms): 12.1
Density of states at the Fermi level (states/eV/atom): 0.73